# In3GaPd

A relaxed structure of In3GaPd (PBE-GGA, the Alexandria database).

Summary:
Energy above the lowest structure with this stoichiometry   183 meV/atom
Fermi-level density of states   3.6 states/eV/f.u.
Symmetry   Pm-3m, No. 221

Cell lengths 5.1774, 5.1774, 5.1774 Å; angles 90.00, 90.00, 90.00 degrees
Closest atoms and distances in Å follow each position.
Fractional positions:
Ga1 0.5000 0.5000 0.5000  12 In 3.66
Pd1 0.0000 0.0000 0.0000  6 In 2.59
In1 0.0000 0.5000 0.0000  2 Pd 2.59
In2 0.0000 0.0000 0.5000  2 Pd 2.59
In3 0.5000 0.0000 0.0000  2 Pd 2.59

=====

# InGa3Pd

A relaxed structure of InGa3Pd (PBE-GGA, the Alexandria database).

Summary:
Energy above the lowest structure with this stoichiometry   0 meV/atom
Fermi-level density of states   1.7 states/eV/f.u.
Symmetry   P2_1, No. 4

Cell lengths 3.7510, 6.5748, 8.2569 Å; angles 69.17, 90.01, 90.03 degrees
Closest atoms and distances in Å follow each position.
Fractional positions:
In1 0.3820 0.4880 0.2453  2 Pd 2.85-2.86, 3 Ga 3.02-3.19
In2 0.8826 0.1867 0.5608  2 Pd 2.85-2.86, 3 Ga 3.02-3.20
Ga1 0.8803 0.6677 0.4988  3 Pd 2.69-2.73, 4 Ga 2.86-2.91
Ga2 0.3804 0.0068 0.3072  3 Pd 2.69-2.73, 4 Ga 2.86-2.91
Ga3 0.8810 0.6838 0.8920  3 Pd 2.64-2.67, 3 Ga 2.65-2.81
Ga4 0.8797 0.2562 0.0512  1 Pd 2.57, 3 Ga 2.65-2.87
Ga5 0.3796 0.4188 0.7552  1 Pd 2.57, 3 Ga 2.65-2.87
Ga6 0.3812 0.9911 0.9140  3 Pd 2.64-2.67, 3 Ga 2.65-2.81
Pd1 0.3816 0.8365 0.6550  7 Ga 2.57-2.73, 2 In 2.85-2.86
Pd2 0.8815 0.8384 0.1509  7 Ga 2.57-2.73, 2 In 2.85-2.86

=====

# In2GaPd

A relaxed structure of In2GaPd (PBE-GGA, the Alexandria database).

Summary:
Fermi-level density of states   2.7 states/eV/f.u.
Symmetry   P4/mmm, No. 123

Cell lengths 4.1249, 4.4182, 4.4182 Å; angles 90.00, 90.00, 90.00 degrees
Closest atoms and distances in Å follow each position.
Fractional positions:
Ga1 0.5000 0.5000 0.5000  8 In 3.02, 4 Pd 3.12
Pd1 0.5000 0.0000 0.0000  8 In 3.02, 4 Ga 3.12
In1 0.0000 0.0000 0.5000  4 Ga 3.02, 4 Pd 3.02, 4 In 3.12
In2 0.0000 0.5000 0.0000  4 Pd 3.02, 4 Ga 3.02, 4 In 3.12

=====

# In3Ga2Pd4

A relaxed structure of In3Ga2Pd4 (PBE-GGA, the Alexandria database).

Summary:
Fermi-level density of states   2.3 states/eV/f.u.
Symmetry   C2/c, No. 15

Cell lengths 5.0750, 8.1643, 8.1643 Å; angles 75.76, 96.63, 96.63 degrees
Closest atoms and distances in Å follow each position.
Fractional positions:
In1 0.0420 0.0120 0.2909  6 Pd 2.72-2.99, 3 Ga 2.94-3.01
In2 0.4580 0.7091 0.9880  6 Pd 2.72-2.99, 3 Ga 2.94-3.01
In3 0.9580 0.9880 0.7091  6 Pd 2.72-2.99, 3 Ga 2.94-3.01
In4 0.5420 0.2909 0.0120  6 Pd 2.72-2.99, 3 Ga 2.94-3.01
In5 0.2500 0.6338 0.3662  8 Pd 2.82-3.03, 2 Ga 2.93
In6 0.7500 0.3662 0.6338  8 Pd 2.82-3.03, 2 Ga 2.93
Ga1 0.5837 0.1643 0.3824  3 Pd 2.59-2.62
Ga2 0.9163 0.6176 0.8357  3 Pd 2.59-2.62
Ga3 0.4163 0.8357 0.6176  3 Pd 2.59-2.62
Ga4 0.0837 0.3824 0.1643  3 Pd 2.59-2.62
Pd1 0.5185 0.9412 0.1949  1 Ga 2.62, 5 In 2.72-2.87
Pd2 0.9815 0.8051 0.0588  1 Ga 2.62, 5 In 2.72-2.87
Pd3 0.4815 0.0588 0.8051  1 Ga 2.62, 5 In 2.72-2.87
Pd4 0.0185 0.1949 0.9412  1 Ga 2.62, 5 In 2.72-2.87
Pd5 0.1894 0.2783 0.4886  2 Ga 2.59-2.62, 3 In 2.82-2.88
Pd6 0.3106 0.5114 0.7217  2 Ga 2.59-2.62, 3 In 2.82-2.88
Pd7 0.8106 0.7217 0.5114  2 Ga 2.59-2.62, 3 In 2.82-2.88
Pd8 0.6894 0.4886 0.2783  2 Ga 2.59-2.62, 3 In 2.82-2.88

=====

# InGa2Pd2

A relaxed structure of InGa2Pd2 (PBE-GGA, the Alexandria database).

Summary:
Energy above the lowest structure with this stoichiometry   163 meV/atom
Fermi-level density of states   2.2 states/eV/f.u.
Symmetry   I4/mmm, No. 139

Cell lengths 4.1985, 4.1985, 6.1442 Å; angles 70.02, 70.02, 90.00 degrees
Closest atoms and distances in Å follow each position.
Fractional positions:
Ga1 0.3830 0.3830 0.2340  1 Ga 2.52, 4 Pd 2.54
Ga2 0.6170 0.6170 0.7660  1 Ga 2.52, 4 Pd 2.54
Pd1 0.7500 0.2500 0.5000  4 Ga 2.54
Pd2 0.2500 0.7500 0.5000  4 Ga 2.54
In1 0.0000 0.0000 0.0000  8 Ga 3.22, 8 Pd 3.41

=====

# InGa5Pd4

A relaxed structure of InGa5Pd4 (PBE-GGA, the Alexandria database).

Summary:
Fermi-level density of states   3.8 states/eV/f.u.
Symmetry   C2/m, No. 12

Cell lengths 4.3861, 6.1956, 6.8846 Å; angles 92.17, 108.57, 90.00 degrees
Closest atoms and distances in Å follow each position.
Fractional positions:
In1 0.5000 0.0000 0.0000  6 Pd 2.74-2.77
Ga1 0.1746 0.0028 0.3491  4 Pd 2.55-2.73
Ga2 0.1730 0.4850 0.3460  5 Pd 2.55-2.71
Ga3 0.8270 0.5150 0.6540  5 Pd 2.55-2.71
Ga4 0.5000 0.5000 0.0000  6 Pd 2.59-2.64
Ga5 0.8254 0.9972 0.6509  4 Pd 2.55-2.73
Pd1 0.6678 0.7392 0.3356  7 Ga 2.55-2.73, 1 In 2.77
Pd2 0.9918 0.2637 0.9836  6 Ga 2.64-2.93, 2 In 2.74, 1 Pd 2.93
Pd3 0.3322 0.2608 0.6644  7 Ga 2.55-2.73, 1 In 2.77
Pd4 0.0082 0.7363 0.0164  6 Ga 2.64-2.93, 2 In 2.74, 1 Pd 2.93

=====

| no. | magnetization (μB/cell) | E_tot (eV/atom) | energy of formation (eV per atom) |
| --- | --- | --- | --- |
| 1 | 0.0 | -3.280 | 0.007 |
| 2 | 0.0 | -3.656 | -0.254 |
| 3 | 0.0 | -3.516 | -0.092 |
| 4 | 0.0 | -4.273 | -0.380 |
| 5 | 0.0 | -4.151 | -0.316 |
| 6 | 0.0 | -4.331 | -0.467 |